No. 1
The following is a DFT calculation (PBE) of an optimized crystal structure of Tb6TmIn3.

Cell: 5.0967 10.3028 11.1352 Å, 96.95 90.00 90.00°
Fractional coordinates of all 20 atoms:
1 In 0.2500 0.7543 0.9730
2 Tb 0.7500 0.9321 0.0912
3 Tb 0.2500 0.0679 0.9088
4 In 0.2500 0.3593 0.8072
5 Tb 0.7500 0.3639 0.3122
6 Tb 0.2500 0.6361 0.6878
7 Tb 0.2500 0.1446 0.2171
8 Tb 0.2500 0.4528 0.0969
9 Tm 0.2500 0.9520 0.5951
10 Tb 0.2500 0.2710 0.5153
11 Tb 0.7500 0.8554 0.7829
12 In 0.2500 0.5459 0.3900
13 Tb 0.2500 0.8255 0.2812
14 In 0.7500 0.4541 0.6100
15 Tm 0.7500 0.0480 0.4049
16 In 0.7500 0.6407 0.1928
17 Tb 0.7500 0.7290 0.4847
18 Tb 0.7500 0.1745 0.7188
19 Tb 0.7500 0.5472 0.9031
20 In 0.7500 0.2457 0.0270

Calculated values
Mass density: 8.4 g cm⁻³
Energy above the most stable polymorph in this dataset: 0.0 meV per atom
Formation energy from the elements: -267 meV/atom
V: 580.4 Å³/cell
Total energy: -0.3171 Ry/atom

---

No. 2
The following is a DFT calculation (PBE) of an optimized crystal structure of La5SmY5.

Cell: 6.2388 6.2388 11.9304 Å, 90.00 90.00 120.00°
Fractional coordinates of all 11 atoms:
1 La 0.6667 0.3333 0.8522
2 Y 0.0000 0.0000 0.7386
3 Y 0.8341 0.6682 0.5000
4 Sm 0.3333 0.6667 0.0000
5 Y 0.0000 0.0000 0.2614
6 La 0.3333 0.6667 0.6850
7 La 0.3333 0.6667 0.3150
8 La 0.0000 0.0000 0.0000
9 Y 0.3318 0.1659 0.5000
10 Y 0.8341 0.1659 0.5000
11 La 0.6667 0.3333 0.1478

Calculated values
Mass density: 5.3 g cm⁻³
Formation energy from the elements: 281 meV/atom
V: 402.1 Å³/cell
Total energy: -0.3914 Ry/atom

---

No. 3
The following is a DFT calculation (PBE) of an optimized crystal structure of Pr2Zn4Pd3Pt.

Cell: 4.2548 4.2548 10.7133 Å, 90.00 90.00 90.00°
Fractional coordinates of all 10 atoms:
1 Pt 0.5000 0.5000 0.5000
2 Zn 0.0000 0.0000 0.0000
3 Pd 0.5000 0.0000 0.8652
4 Pr 0.5000 0.0000 0.2567
5 Zn 0.0000 0.5000 0.3680
6 Zn 0.5000 0.5000 0.0000
7 Pr 0.0000 0.5000 0.7433
8 Pd 0.0000 0.5000 0.1348
9 Pd 0.0000 0.0000 0.5000
10 Zn 0.5000 0.0000 0.6320

Calculated values
Mass density: 9.1 g cm⁻³
Formation energy from the elements: -640 meV/atom
V: 193.9 Å³/cell
Total energy: -0.3137 Ry/atom

---

No. 4
The following is a DFT calculation (PBE) of an optimized crystal structure of HfOsPb2Cl.

Cell: 5.4590 4.2707 5.4590 Å, 90.00 90.00 90.00°
Fractional coordinates of all 5 atoms:
1 Pb 0.0000 0.0000 0.5000
2 Pb 0.5000 0.0000 0.0000
3 Os 0.0000 0.5000 0.0000
4 Hf 0.5000 0.5000 0.5000
5 Cl 0.0000 0.0000 0.0000

Calculated values
Raw formation energy: 1199 meV/atom
Mass density: 10.7 g cm⁻³
Energy above the most stable polymorph in this dataset: 169.5 meV per atom
V: 127.3 Å³/cell
Total energy: -0.3595 Ry/atom

---

No. 5
The following is a DFT calculation (PBE) of an optimized crystal structure of Sr2HgW.

Cell: 6.3544 6.3544 5.8590 Å, 72.10 72.10 30.04°
Fractional coordinates of all 4 atoms:
1 Sr 0.9736 0.9736 0.0625
2 W 0.5349 0.5349 0.5266
3 Sr 0.7780 0.7780 0.6846
4 Hg 0.2135 0.2135 0.2263

Calculated values
Mass density: 8.3 g cm⁻³
Formation energy from the elements: 677 meV/atom
V: 112.3 Å³/cell
Total energy: -0.2556 Ry/atom

---

No. 6
The following is a DFT calculation (PBE) of an optimized crystal structure of SrY3Ru.

Cell: 23.5972 6.8773 9.3959 Å, 90.00 155.05 90.00°
Fractional coordinates of all 20 atoms:
1 Ru 0.6158 0.0693 0.0813
2 Y 0.7939 0.1722 0.6933
3 Y 0.8256 0.9210 0.4022
4 Y 0.4396 0.2418 0.8632
5 Sr 0.5698 0.1744 0.5291
6 Ru 0.3842 0.9307 0.9187
7 Y 0.0604 0.7418 0.6368
8 Ru 0.8842 0.5693 0.4187
9 Y 0.2061 0.8278 0.3067
10 Y 0.9396 0.2582 0.3632
11 Y 0.1744 0.0790 0.5978
12 Y 0.2939 0.3278 0.1933
13 Sr 0.4302 0.8256 0.4709
14 Ru 0.1158 0.4307 0.5813
15 Y 0.7061 0.6722 0.8067
16 Sr 0.9302 0.6744 0.9709
17 Y 0.6744 0.4210 0.0978
18 Y 0.3256 0.5790 0.9022
19 Sr 0.0698 0.3256 0.0291
20 Y 0.5604 0.7582 0.1368

Calculated values
Mass density: 4.7 g cm⁻³
Energy above the most stable polymorph in this dataset: 121.6 meV per atom
Formation energy from the elements: -55 meV/atom
V: 643.3 Å³/cell
Total energy: -0.4502 Ry/atom